Arrangement one

TaMnFe2H: optimized geometry, GGA-PBE.

* spin magnetization: 2.742 μB/cell
* SG: No. 123

Cell: 3.7289 3.7289 3.7113 Å, 90.00 90.00 90.00°
Fractional coordinates of all 5 atoms:
H 0.0000 0.0000 0.0000
Mn 0.0000 0.0000 0.5000
Fe 0.0000 0.5000 0.0000
Fe 0.5000 0.0000 0.0000
Ta 0.5000 0.5000 0.5000


Arrangement two

TaMnFe2H: optimized geometry, GGA-PBE.

* spin magnetization: 4.787 μB/cell
* SG: No. 123

Cell: 3.6167 3.6167 4.1292 Å, 90.00 90.00 90.00°
Fractional coordinates of all 5 atoms:
H 0.0000 0.0000 0.0000
Mn 0.5000 0.5000 0.5000
Fe 0.0000 0.5000 0.0000
Fe 0.5000 0.0000 0.0000
Ta 0.0000 0.0000 0.5000


The least stable of them is arrangement two.